## Li4Tl5Pb (PBE)

Data for a relaxed Li4Tl5Pb crystal.

Computed properties:
formation enthalpy at 0 K = -0.170 eV/atom
Fermi-level density of states = 3.4 states/eV per cell
total DFT energy (no corrections) = -24.89 eV per cell

Cell: 3.5209 3.5209 18.6308 Å, 90.00 90.00 90.00°
Sites, in units of the cell vectors:
Li (0.0000, 0.0000, 0.2285)
Li (0.0000, 0.0000, 0.4103)
Li (0.0000, 0.0000, 0.5897)
Li (0.0000, 0.0000, 0.7715)
Tl (0.5000, 0.5000, 0.1299)
Tl (0.5000, 0.5000, 0.3184)
Tl (0.5000, 0.5000, 0.5000)
Tl (0.5000, 0.5000, 0.6816)
Tl (0.5000, 0.5000, 0.8701)
Pb (0.0000, 0.0000, 0.0000)